Entry from Alexandria: a relaxed structure of Cd2Ir (PBE).

Cell and atoms, written as CIF:
```
data_Cd2Ir
_symmetry_space_group_name_H-M 'P 1'
_symmetry_Int_Tables_number 1
_cell_length_a 5.591
_cell_length_b 5.591
_cell_length_c 7.137
_cell_angle_alpha 104.86
_cell_angle_beta 104.86
_cell_angle_gamma 30.66
loop_
_symmetry_equiv_pos_as_xyz
'x,y,z'
loop_
_atom_site_label
_atom_site_fract_x
_atom_site_fract_y
_atom_site_fract_z
Cd1 0.000 0.000 0.000
Cd2 0.031 0.031 0.593
Cd3 0.311 0.311 0.681
Cd4 0.666 0.666 0.329
Ir1 0.376 0.376 0.250
Ir2 0.723 0.723 0.963
```

Output
Space group = Cm (8)
Energy relative to the elements = 144.6 meV/atom


Entry from Alexandria: a relaxed structure of KCd2Ir2 (PBE).

Cell and atoms, written as CIF:
```
data_KCd2Ir2
_symmetry_space_group_name_H-M 'P 1'
_symmetry_Int_Tables_number 1
_cell_length_a 8.417
_cell_length_b 8.417
_cell_length_c 2.869
_cell_angle_alpha 90.00
_cell_angle_beta 90.00
_cell_angle_gamma 90.00
loop_
_symmetry_equiv_pos_as_xyz
'x,y,z'
loop_
_atom_site_label
_atom_site_fract_x
_atom_site_fract_y
_atom_site_fract_z
K1 0.000 0.000 0.000
K2 0.500 0.500 0.000
Cd1 0.183 0.317 0.500
Cd2 0.317 0.817 0.500
Cd3 0.683 0.183 0.500
Cd4 0.817 0.683 0.500
Ir1 0.108 0.608 0.000
Ir2 0.392 0.108 0.000
Ir3 0.608 0.892 0.000
Ir4 0.892 0.392 0.000
```

Output
Space group = P4/mbm (127)
Energy relative to the elements = 274.9 meV/atom


Entry from Alexandria: a relaxed structure of K2CdIr (PBE).

Cell and atoms, written as CIF:
```
data_K2CdIr
_symmetry_space_group_name_H-M 'P 1'
_symmetry_Int_Tables_number 1
_cell_length_a 6.179
_cell_length_b 6.179
_cell_length_c 3.120
_cell_angle_alpha 90.10
_cell_angle_beta 90.10
_cell_angle_gamma 121.72
loop_
_symmetry_equiv_pos_as_xyz
'x,y,z'
loop_
_atom_site_label
_atom_site_fract_x
_atom_site_fract_y
_atom_site_fract_z
K1 0.000 0.500 0.000
K2 0.500 0.000 0.000
Cd1 0.000 0.000 0.500
Ir1 0.500 0.500 0.500
```

Output
Space group = C2/m (12)
Energy relative to the elements = 645.0 meV/atom


Entry from Alexandria: a relaxed structure of K2CdIr (PBE).

Cell and atoms, written as CIF:
```
data_K2CdIr
_symmetry_space_group_name_H-M 'P 1'
_symmetry_Int_Tables_number 1
_cell_length_a 5.895
_cell_length_b 5.895
_cell_length_c 5.895
_cell_angle_alpha 132.31
_cell_angle_beta 121.85
_cell_angle_gamma 78.42
loop_
_symmetry_equiv_pos_as_xyz
'x,y,z'
loop_
_atom_site_label
_atom_site_fract_x
_atom_site_fract_y
_atom_site_fract_z
K1 0.000 0.000 0.000
K2 0.703 0.203 0.500
Cd1 0.420 0.420 0.000
Ir1 0.302 0.802 0.500
```

Output
Space group = Imm2 (44)
Energy relative to the elements = 466.7 meV/atom


Number 1: volume 109.7 Å³ per cell. Number 2: volume 203.3 Å³ per cell. Number 3: volume 101.3 Å³ per cell. Number 4: volume 124.7 Å³ per cell.